A plane-wave DFT calculation with PBE was carried out for a relaxed structure of La3Ce5As8.

Geometry as POSCAR:
```
La3Ce5As8
1.0
7.424 0.000 4.253
2.494 6.993 4.253
0.025 0.017 8.564
As Ce La
8 5 3
Cartesian
6.215 1.801 6.364
3.728 5.209 10.706
6.159 1.761 10.706
2.498 1.761 8.609
3.784 5.249 6.364
7.445 5.249 8.461
7.420 5.232 12.867
2.523 1.779 4.203
4.959 3.496 4.253
0.000 0.000 0.000
4.972 3.505 8.535
1.247 3.496 2.126
3.712 0.000 2.126
0.012 0.009 4.282
3.725 0.009 6.409
1.259 3.505 6.409
```

**ΔE_f**: -1476 meV per atom



A plane-wave DFT calculation with PBE was carried out for a relaxed structure of LaCeAsN.

Geometry as POSCAR:
```
LaCeAsN
1.0
-0.580 3.847 -2.489
-0.277 -2.533 -3.851
-8.809 -0.645 1.057
Ce La As N
2 2 2 2
Cartesian
-7.750 1.377 -0.349
-1.488 -1.365 -1.764
-4.833 0.334 -2.641
-4.405 -0.322 0.529
-7.227 -1.786 -1.075
-2.011 1.797 -1.038
-3.600 -1.520 -1.510
-5.638 1.532 -0.603
```

**E_form (uncorrected)**: -1.32 eV/atom



A plane-wave DFT calculation with PBE was carried out for a relaxed structure of La2Ce4As3N2.

Geometry as POSCAR:
```
La2Ce4As3N2
1.0
-3.566 2.719 -1.166
-2.246 -3.676 -1.705
-2.280 -1.534 12.605
Ce As La N
4 3 2 2
Cartesian
-1.952 -2.160 0.932
-6.140 -0.331 8.802
-2.612 1.038 1.202
-5.481 -3.529 8.532
-1.790 -0.694 3.854
0.000 0.000 0.000
-6.303 -1.797 5.880
-3.132 -1.216 6.746
-4.960 -1.275 2.988
-4.134 -1.604 8.903
-3.959 -0.887 0.832
```

**E_form (uncorrected)**: -1.26 eV/atom



A plane-wave DFT calculation with PBE was carried out for a relaxed structure of La3CeNd2As6.

Geometry as POSCAR:
```
La3CeNd2As6
1.0
7.470 0.000 0.001
-3.734 6.470 0.001
-1.246 -2.157 7.055
La As Nd Ce
3 6 2 1
Cartesian
1.245 2.156 3.528
4.970 0.005 3.528
-2.480 4.308 3.528
-1.228 2.127 1.717
2.509 4.344 1.718
0.035 4.314 5.340
2.456 -0.001 1.717
-0.018 -0.031 5.338
3.719 2.186 5.340
3.732 2.159 0.001
0.005 4.311 0.001
0.000 0.000 0.000
```

**ΔE_f**: -1534 meV per atom



Number 1: total magnetization 3.51 μB/cell. Number 2: total magnetization 1.42 μB/cell. Number 3: total magnetization 3.23 μB/cell. Number 4: total magnetization 0.54 μB/cell.